Material: YNiSb
Method: DFT, PBE-GGA
State: relaxed

a b c (Å): 5.9171 5.9171 5.9171
angles (deg): 146.53 146.53 48.06
Sites, in units of the cell vectors:
Ni1 0.9868 0.9868 0.0000
Sb1 0.3627 0.3627 0.0000
Y1 0.6505 0.6505 0.0000

Calculated values
Formation energy from raw total energies ... -0.382 eV/atom
Raw total energy ... -17.52 eV for the cell shown
SG ... I4mm
Crystal system ... tetragonal


Material: Y2NiSb
Method: DFT, PBE-GGA
State: relaxed

a b c (Å): 4.1931 4.1931 6.1079
angles (deg): 90.00 90.00 90.00
Sites, in units of the cell vectors:
Ni1 0.0000 0.0000 0.3782
Sb1 0.5000 0.5000 0.8360
Y1 0.0000 0.0000 0.9441
Y2 0.5000 0.5000 0.3417

Calculated values
Formation energy from raw total energies ... -0.461 eV/atom
Raw total energy ... -24.68 eV for the cell shown
SG ... P4mm
Crystal system ... tetragonal


Material: YNiSb
Method: DFT, PBE-GGA
State: relaxed

a b c (Å): 4.2954 4.2954 4.0505
angles (deg): 90.00 90.00 120.00
Sites, in units of the cell vectors:
Y1 0.3333 0.6667 0.6669
Sb1 0.6667 0.3333 0.1669
Ni1 0.0000 0.0000 0.1662

Calculated values
Formation energy from raw total energies ... -0.806 eV/atom
Raw total energy ... -18.79 eV for the cell shown
SG ... P-6m2
Crystal system ... hexagonal


Material: Y2NiSb
Method: DFT, PBE-GGA
State: relaxed

a b c (Å): 4.1952 4.1414 5.9265
angles (deg): 69.55 90.00 90.00
Sites, in units of the cell vectors:
Y1 0.0000 0.9712 0.9317
Y2 0.5000 0.2636 0.3473
Sb1 0.5000 0.5527 0.7688
Ni1 0.0000 0.7124 0.4522

Calculated values
Formation energy from raw total energies ... -0.730 eV/atom
Raw total energy ... -25.75 eV for the cell shown
SG ... Pm
Crystal system ... monoclinic


Material: YNiSb3
Method: DFT, PBE-GGA
State: relaxed

a b c (Å): 5.7166 5.7166 5.7166
angles (deg): 90.00 90.00 90.00
Sites, in units of the cell vectors:
Y1 0.0000 0.0000 0.0000
Sb1 0.0000 0.5000 0.0000
Sb2 0.0000 0.0000 0.5000
Sb3 0.5000 0.0000 0.0000
Ni1 0.5000 0.5000 0.5000

Calculated values
Formation energy from raw total energies ... 0.934 eV/atom
Raw total energy ... -19.94 eV for the cell shown
SG ... Pm-3m
Crystal system ... cubic


Material: YbNiSb
Method: DFT, PBE-GGA
State: relaxed

a b c (Å): 4.5269 4.5269 4.5269
angles (deg): 60.00 60.00 60.00
Sites, in units of the cell vectors:
Sb1 0.0000 0.0000 0.0000
Yb1 0.5000 0.5000 0.5000
Ni1 0.2500 0.2500 0.2500

Calculated values
Formation energy from raw total energies ... -0.643 eV/atom
Raw total energy ... -13.36 eV for the cell shown
SG ... F-43m
Crystal system ... cubic


Material: ZnNiSb
Method: DFT, PBE-GGA
State: relaxed

a b c (Å): 4.3240 4.3240 4.3240
angles (deg): 60.00 60.00 60.00
Sites, in units of the cell vectors:
Ni1 0.5000 0.5000 0.5000
Sb1 0.2500 0.2500 0.2500
Zn1 0.0000 0.0000 0.0000

Calculated values
Formation energy from raw total energies ... 0.142 eV/atom
Raw total energy ... -10.75 eV for the cell shown
SG ... F-43m
Crystal system ... cubic


Material: ZnNiSb6
Method: DFT, PBE-GGA
State: relaxed

a b c (Å): 8.1968 8.1968 8.2835
angles (deg): 109.41 108.86 109.73
Sites, in units of the cell vectors:
Zn1 0.0000 0.5000 0.0000
Zn2 0.5000 0.0000 0.0000
Ni1 0.0000 0.0000 0.5000
Ni2 0.5000 0.5000 0.5000
Sb1 0.1486 0.6465 0.7950
Sb2 0.8514 0.3535 0.2050
Sb3 0.8415 0.6660 0.5075
Sb4 0.1585 0.3340 0.4925
Sb5 0.8108 0.1428 0.6416
Sb6 0.1892 0.8572 0.3584
Sb7 0.4988 0.8309 0.6416
Sb8 0.5012 0.1691 0.3584
Sb9 0.6715 0.8120 0.1695
Sb10 0.3285 0.1880 0.8305
Sb11 0.6425 0.5020 0.8305
Sb12 0.3575 0.4980 0.1695

Calculated values
Formation energy from raw total energies ... -0.024 eV/atom
Raw total energy ... -63.96 eV for the cell shown
SG ... C2/m
Crystal system ... monoclinic


Material: ZnNiSb2
Method: DFT, PBE-GGA
State: relaxed

a b c (Å): 3.8941 3.8941 6.7280
angles (deg): 73.42 73.42 59.89
Sites, in units of the cell vectors:
Ni1 0.7500 0.7500 0.7500
Sb1 0.0156 0.0156 0.9553
Sb2 0.4844 0.4844 0.5447
Zn1 0.2500 0.2500 0.2500

Calculated values
Formation energy from raw total energies ... -0.020 eV/atom
Raw total energy ... -15.38 eV for the cell shown
SG ... C2/m
Crystal system ... monoclinic


Material: ZnNiSb2
Method: DFT, PBE-GGA
State: relaxed

a b c (Å): 5.0723 5.0723 3.2206
angles (deg): 80.90 80.90 98.62
Sites, in units of the cell vectors:
Ni1 0.0000 0.5000 0.5000
Sb1 0.0000 0.0000 0.0000
Sb2 0.5000 0.5000 0.0000
Zn1 0.5000 0.0000 0.5000

Calculated values
Formation energy from raw total energies ... 0.234 eV/atom
Raw total energy ... -14.36 eV for the cell shown
SG ... C2/m
Crystal system ... monoclinic


Material: ZnNiSb2
Method: DFT, PBE-GGA
State: relaxed

a b c (Å): 5.8288 5.8288 5.8288
angles (deg): 140.40 140.40 57.24
Sites, in units of the cell vectors:
Ni1 0.7500 0.2500 0.5000
Sb1 0.0000 0.0000 0.0000
Sb2 0.2500 0.7500 0.5000
Zn1 0.5000 0.5000 0.0000

Calculated values
Formation energy from raw total energies ... 0.275 eV/atom
Raw total energy ... -14.20 eV for the cell shown
SG ... I-4m2
Crystal system ... tetragonal


Material: ZnNiSb2
Method: DFT, PBE-GGA
State: relaxed

a b c (Å): 4.8675 4.8675 3.3769
angles (deg): 90.00 90.00 101.26
Sites, in units of the cell vectors:
Ni1 0.0000 0.5000 0.5000
Sb1 0.0000 0.0000 0.0000
Sb2 0.5000 0.5000 0.0000
Zn1 0.5000 0.0000 0.5000

Calculated values
Formation energy from raw total energies ... 0.251 eV/atom
Raw total energy ... -14.30 eV for the cell shown
SG ... Cmmm
Crystal system ... orthorhombic


Material: ZnNiSb
Method: DFT, PBE-GGA
State: relaxed

a b c (Å): 3.2187 3.2187 6.0198
angles (deg): 90.00 90.00 120.00
Sites, in units of the cell vectors:
Ni1 0.0000 0.0000 0.9955
Sb1 0.6667 0.3333 0.2935
Zn1 0.3333 0.6667 0.7111

Calculated values
Formation energy from raw total energies ... 0.079 eV/atom
Raw total energy ... -10.94 eV for the cell shown
SG ... P3m1
Crystal system ... trigonal


Material: ZnNi4Sb
Method: DFT, PBE-GGA
State: relaxed

a b c (Å): 3.5939 4.4999 5.9584
angles (deg): 103.33 72.45 66.46
Sites, in units of the cell vectors:
Zn1 0.0000 0.0000 0.0000
Ni1 0.8239 0.5074 0.8448
Ni2 0.3464 0.9867 0.3205
Ni3 0.1761 0.4926 0.1552
Ni4 0.6536 0.0133 0.6795
Sb1 0.5000 0.5000 0.5000

Calculated values
Formation energy from raw total energies ... -0.091 eV/atom
Raw total energy ... -29.07 eV for the cell shown
SG ... C2/m
Crystal system ... monoclinic


Material: ZnNiSb2
Method: DFT, PBE-GGA
State: relaxed

a b c (Å): 3.2441 3.2152 7.9624
angles (deg): 90.00 90.00 90.00
Sites, in units of the cell vectors:
Ni1 0.5000 0.5000 0.7073
Sb1 0.0000 0.0000 0.9047
Sb2 0.5000 0.5000 0.3288
Zn1 0.0000 0.0000 0.5592

Calculated values
Formation energy from raw total energies ... 0.012 eV/atom
Raw total energy ... -15.25 eV for the cell shown
SG ... Pmm2
Crystal system ... orthorhombic


Material: ZnNi14Sb
Method: DFT, PBE-GGA
State: relaxed

a b c (Å): 5.0972 5.0972 7.1042
angles (deg): 90.00 90.00 90.00
Sites, in units of the cell vectors:
Zn1 0.3750 0.3750 0.5000
Ni1 0.8750 0.8750 0.0000
Ni2 0.3750 0.3750 0.0000
Ni3 0.8750 0.3750 0.5000
Ni4 0.8750 0.3750 0.0000
Ni5 0.3750 0.8750 0.5000
Ni6 0.3750 0.8750 0.0000
Ni7 0.6218 0.1282 0.2390
Ni8 0.6218 0.1282 0.7610
Ni9 0.1282 0.6218 0.2390
Ni10 0.1282 0.6218 0.7610
Ni11 0.6218 0.6218 0.2390
Ni12 0.6218 0.6218 0.7610
Ni13 0.1282 0.1282 0.2390
Ni14 0.1282 0.1282 0.7610
Sb1 0.8750 0.8750 0.5000

Calculated values
Formation energy from raw total energies ... -0.046 eV/atom
Raw total energy ... -87.07 eV for the cell shown
SG ... P4/mmm
Crystal system ... tetragonal


Material: ZnNi4Sb
Method: DFT, PBE-GGA
State: relaxed

a b c (Å): 4.8350 4.8350 4.8350
angles (deg): 60.00 60.00 60.00
Sites, in units of the cell vectors:
Zn1 0.0000 0.0000 0.0000
Ni1 0.8762 0.3746 0.3746
Ni2 0.3746 0.3746 0.8762
Ni3 0.3746 0.8762 0.3746
Ni4 0.3746 0.3746 0.3746
Sb1 0.7500 0.7500 0.7500

Calculated values
Formation energy from raw total energies ... 0.004 eV/atom
Raw total energy ... -28.50 eV for the cell shown
SG ... F-43m
Crystal system ... cubic


Material: ZnNiSb2
Method: DFT, PBE-GGA
State: relaxed

a b c (Å): 5.0772 5.0772 5.0772
angles (deg): 133.91 117.62 80.96
Sites, in units of the cell vectors:
Ni1 0.2500 0.7500 0.5000
Sb1 0.0217 0.0217 0.0000
Sb2 0.4783 0.4783 0.0000
Zn1 0.7500 0.2500 0.5000

Calculated values
Formation energy from raw total energies ... 0.226 eV/atom
Raw total energy ... -14.40 eV for the cell shown
SG ... Immm
Crystal system ... orthorhombic


Material: Zn2Ni6Sb
Method: DFT, PBE-GGA
State: relaxed

a b c (Å): 2.7343 6.9680 6.9680
angles (deg): 120.00 90.00 90.00
Sites, in units of the cell vectors:
Zn1 0.0000 0.3333 0.6667
Zn2 0.0000 0.6667 0.3333
Ni1 0.0000 0.6905 0.0000
Ni2 0.5000 0.6258 0.6258
Ni3 0.5000 0.0000 0.3742
Ni4 0.0000 0.0000 0.6905
Ni5 0.0000 0.3095 0.3095
Ni6 0.5000 0.3742 0.0000
Sb1 0.5000 0.0000 0.0000

Calculated values
Formation energy from raw total energies ... -0.030 eV/atom
Raw total energy ... -41.63 eV for the cell shown
SG ... P-62m
Crystal system ... hexagonal


Material: ZnNi12Sb3
Method: DFT, PBE-GGA
State: relaxed

a b c (Å): 3.7122 3.7122 14.6177
angles (deg): 90.00 90.00 90.00
Sites, in units of the cell vectors:
Zn1 0.0000 0.0000 0.0000
Ni1 0.5000 0.5000 0.0000
Ni2 0.5000 0.5000 0.2485
Ni3 0.5000 0.5000 0.5000
Ni4 0.5000 0.5000 0.7515
Ni5 0.5000 0.0000 0.1173
Ni6 0.5000 0.0000 0.3725
Ni7 0.5000 0.0000 0.6275
Ni8 0.5000 0.0000 0.8827
Ni9 0.0000 0.5000 0.1173
Ni10 0.0000 0.5000 0.3725
Ni11 0.0000 0.5000 0.6275
Ni12 0.0000 0.5000 0.8827
Sb1 0.0000 0.0000 0.2402
Sb2 0.0000 0.0000 0.5000
Sb3 0.0000 0.0000 0.7598

Calculated values
Formation energy from raw total energies ... -0.151 eV/atom
Raw total energy ... -85.43 eV for the cell shown
SG ... P4/mmm
Crystal system ... tetragonal